# La4IrRuCl2 (GGA-PBE, relaxed)
data_La4IrRuCl2
_chemical_formula_sum 'La4 Ir1 Ru1 Cl2'
_cell_length_a 7.192
_cell_length_b 4.159
_cell_length_c 8.020
_cell_angle_alpha 90.00
_cell_angle_beta 107.47
_cell_angle_gamma 90.00
_space_group_name_H-M_alt 'P 1 2/m 1'
_space_group_IT_number 10
loop_
_space_group_symop_operation_xyz
'x,y,z'
'-x,-y,-z'
'-x,y,-z'
'x,-y,z'
loop_
_atom_site_label
_atom_site_fract_x
_atom_site_fract_y
_atom_site_fract_z
_atom_site_occupancy
La1 0.231 0.000 0.205 1
La2 0.261 0.500 0.797 1
Ir1 0.500 0.000 0.000 1
Ru1 0.000 0.500 0.000 1
Cl1 0.000 0.000 0.500 1
Cl2 0.500 0.500 0.500 1
# * energy relative to the elements, uncorrected: -1.184 eV/atom
# * V: 28.60 Å³ per atom
# * energy: -51.01 eV for the cell shown

# La8IrRu3Cl4 (GGA-PBE, relaxed)
data_La8IrRu3Cl4
_chemical_formula_sum 'La24 Ir3 Ru9 Cl12'
_cell_length_a 8.2972
_cell_length_b 8.2972
_cell_length_c 22.9105
_cell_angle_alpha 90.00
_cell_angle_beta 90.00
_cell_angle_gamma 120.00
_space_group_name_H-M_alt 'R -3 m'
_space_group_IT_number 166
_space_group_name_Hall '-R 3 2"'
loop_
_atom_site_label
_atom_site_fract_x
_atom_site_fract_y
_atom_site_fract_z
_atom_site_occupancy
La1 0.0000 0.0000 0.2349 1
La2 0.0038 0.5019 0.7654 1
Ir1 0.0000 0.0000 0.5000 1
Ru1 0.0000 0.5000 0.5000 1
Cl1 0.0000 0.0000 0.0000 1
Cl2 0.0000 0.5000 0.0000 1
# * energy relative to the elements, uncorrected: -1.099 eV/atom
# * V: 28.46 Å³ per atom
# * energy: -303.26 eV for the cell shown

# La8Ir3RuCl4 (GGA-PBE, relaxed)
data_La8Ir3RuCl4
_chemical_formula_sum 'La24 Ir9 Ru3 Cl12'
_cell_length_a 8.3358
_cell_length_b 8.3358
_cell_length_c 22.9763
_cell_angle_alpha 90.00
_cell_angle_beta 90.00
_cell_angle_gamma 120.00
_space_group_name_H-M_alt 'R -3 m'
_space_group_IT_number 166
_space_group_name_Hall '-R 3 2"'
loop_
_atom_site_label
_atom_site_fract_x
_atom_site_fract_y
_atom_site_fract_z
_atom_site_occupancy
La1 0.0000 0.0000 0.2340 1
La2 0.0041 0.5021 0.2347 1
Ir1 0.0000 0.5000 0.5000 1
Ru1 0.0000 0.0000 0.5000 1
Cl1 0.0000 0.0000 0.0000 1
Cl2 0.0000 0.5000 0.0000 1
# * energy relative to the elements, uncorrected: -1.265 eV/atom
# * V: 28.80 Å³ per atom
# * energy: -308.70 eV for the cell shown

# La6IrS2Cl3 (GGA-PBE, relaxed)
data_La6IrS2Cl3
_chemical_formula_sum 'La12 Ir2 S4 Cl6'
_cell_length_a 18.815
_cell_length_b 4.100
_cell_length_c 8.527
_cell_angle_alpha 90.00
_cell_angle_beta 104.22
_cell_angle_gamma 90.00
_space_group_name_H-M_alt 'C 1 2/m 1'
_space_group_IT_number 12
loop_
_space_group_symop_operation_xyz
'x,y,z'
'-x,-y,-z'
'-x,y,-z'
'x,-y,z'
'x+1/2,y+1/2,z'
'-x+1/2,-y+1/2,-z'
'-x+1/2,y+1/2,-z'
'x+1/2,-y+1/2,z'
loop_
_atom_site_label
_atom_site_fract_x
_atom_site_fract_y
_atom_site_fract_z
_atom_site_occupancy
La1 0.007 0.000 0.224 1
La2 0.170 0.500 0.096 1
La3 0.175 0.500 0.573 1
Ir1 0.000 0.500 0.000 1
S1 0.168 0.000 0.334 1
Cl1 0.000 0.500 0.500 1
Cl2 0.160 0.000 0.823 1
# * energy relative to the elements, uncorrected: -1.674 eV/atom
# * V: 26.57 Å³ per atom
# * energy: -144.62 eV for the cell shown

# La4IrSCl2 (GGA-PBE, relaxed)
data_La4IrSCl2
_chemical_formula_sum 'La4 Ir1 S1 Cl2'
_cell_length_a 7.454
_cell_length_b 4.091
_cell_length_c 7.495
_cell_angle_alpha 90.00
_cell_angle_beta 108.51
_cell_angle_gamma 90.00
_space_group_name_H-M_alt 'P 1 2/m 1'
_space_group_IT_number 10
loop_
_space_group_symop_operation_xyz
'x,y,z'
'-x,-y,-z'
'-x,y,-z'
'x,-y,z'
loop_
_atom_site_label
_atom_site_fract_x
_atom_site_fract_y
_atom_site_fract_z
_atom_site_occupancy
La1 0.229 0.000 0.220 1
La2 0.260 0.500 0.773 1
Ir1 0.000 0.500 0.000 1
S1 0.500 0.000 0.000 1
Cl1 0.000 0.000 0.500 1
Cl2 0.500 0.500 0.500 1
# * energy relative to the elements, uncorrected: -1.571 eV/atom
# * V: 27.09 Å³ per atom
# * energy: -48.96 eV for the cell shown

# LaIrS2Cl (GGA-PBE, relaxed)
data_LaIrS2Cl
_chemical_formula_sum 'La1 Ir1 S2 Cl1'
_cell_length_a 5.576
_cell_length_b 5.576
_cell_length_c 5.332
_cell_angle_alpha 90.00
_cell_angle_beta 90.00
_cell_angle_gamma 90.00
_space_group_name_H-M_alt 'P 4/m m m'
_space_group_IT_number 123
_space_group_name_Hall '-P 4 2'
loop_
_atom_site_label
_atom_site_fract_x
_atom_site_fract_y
_atom_site_fract_z
_atom_site_occupancy
La1 0.000 0.000 0.000 1
Ir1 0.500 0.500 0.500 1
S1 0.000 0.500 0.000 1
Cl1 0.000 0.000 0.500 1
# * energy relative to the elements, uncorrected: 0.380 eV/atom
# * V: 33.15 Å³ per atom
# * E above lowest polymorph: 1209 meV per atom
# * energy: -21.99 eV for the cell shown

# La6Ir3S2Cl (GGA-PBE, relaxed)
data_La6Ir3S2Cl
_chemical_formula_sum 'La12 Ir6 S4 Cl2'
_cell_length_a 18.838
_cell_length_b 4.143
_cell_length_c 8.730
_cell_angle_alpha 90.00
_cell_angle_beta 107.30
_cell_angle_gamma 90.00
_space_group_name_H-M_alt 'C 1 2/m 1'
_space_group_IT_number 12
loop_
_space_group_symop_operation_xyz
'x,y,z'
'-x,-y,-z'
'-x,y,-z'
'x,-y,z'
'x+1/2,y+1/2,z'
'-x+1/2,-y+1/2,-z'
'-x+1/2,y+1/2,-z'
'x+1/2,-y+1/2,z'
loop_
_atom_site_label
_atom_site_fract_x
_atom_site_fract_y
_atom_site_fract_z
_atom_site_occupancy
La1 0.004 0.000 0.228 1
La2 0.164 0.500 0.090 1
La3 0.176 0.500 0.575 1
Ir1 0.000 0.500 0.000 1
Ir2 0.165 0.000 0.330 1
S1 0.165 0.000 0.828 1
Cl1 0.000 0.500 0.500 1
# * energy relative to the elements, uncorrected: -1.370 eV/atom
# * V: 27.10 Å³ per atom
# * energy: -165.38 eV for the cell shown

# La8Ir3S4Cl (GGA-PBE, relaxed)
data_La8Ir3S4Cl
_chemical_formula_sum 'La24 Ir9 S12 Cl3'
_cell_length_a 8.3085
_cell_length_b 8.3085
_cell_length_c 21.3045
_cell_angle_alpha 90.00
_cell_angle_beta 90.00
_cell_angle_gamma 120.00
_space_group_name_H-M_alt 'R -3 m'
_space_group_IT_number 166
_space_group_name_Hall '-R 3 2"'
loop_
_atom_site_label
_atom_site_fract_x
_atom_site_fract_y
_atom_site_fract_z
_atom_site_occupancy
La1 0.0000 0.0000 0.2452 1
La2 0.0120 0.5060 0.7516 1
Ir1 0.0000 0.5000 0.5000 1
S1 0.0000 0.0000 0.0000 1
S2 0.0000 0.5000 0.0000 1
Cl1 0.0000 0.0000 0.5000 1
# * energy relative to the elements, uncorrected: -1.524 eV/atom
# * V: 26.53 Å³ per atom
# * energy: -326.24 eV for the cell shown

# La8Ir3SCl4 (GGA-PBE, relaxed)
data_La8Ir3SCl4
_chemical_formula_sum 'La24 Ir9 S3 Cl12'
_cell_length_a 8.4311
_cell_length_b 8.4311
_cell_length_c 22.3547
_cell_angle_alpha 90.00
_cell_angle_beta 90.00
_cell_angle_gamma 120.00
_space_group_name_H-M_alt 'R -3 m'
_space_group_IT_number 166
_space_group_name_Hall '-R 3 2"'
loop_
_atom_site_label
_atom_site_fract_x
_atom_site_fract_y
_atom_site_fract_z
_atom_site_occupancy
La1 0.0000 0.0000 0.2354 1
La2 0.0107 0.5053 0.7630 1
Ir1 0.0000 0.5000 0.5000 1
S1 0.0000 0.0000 0.5000 1
Cl1 0.0000 0.0000 0.0000 1
Cl2 0.0000 0.5000 0.0000 1
# * energy relative to the elements, uncorrected: -1.432 eV/atom
# * V: 28.67 Å³ per atom
# * energy: -301.29 eV for the cell shown

# LaIrS2Cl (GGA-PBE, relaxed)
data_LaIrS2Cl
_chemical_formula_sum 'La1 Ir1 S2 Cl1'
_cell_length_a 4.779
_cell_length_b 4.779
_cell_length_c 4.642
_cell_angle_alpha 90.00
_cell_angle_beta 90.00
_cell_angle_gamma 90.00
_space_group_name_H-M_alt 'P 4/m m m'
_space_group_IT_number 123
_space_group_name_Hall '-P 4 2'
loop_
_atom_site_label
_atom_site_fract_x
_atom_site_fract_y
_atom_site_fract_z
_atom_site_occupancy
La1 0.000 0.000 0.000 1
Ir1 0.500 0.500 0.500 1
S1 0.000 0.500 0.500 1
Cl1 0.500 0.500 0.000 1
# * energy relative to the elements, uncorrected: -0.828 eV/atom
# * V: 21.20 Å³ per atom
# * E above lowest polymorph: 0 meV per atom
# * energy: -28.03 eV for the cell shown

# La3SbIrCl (GGA-PBE, relaxed)
data_La3SbIrCl
_chemical_formula_sum 'La6 Sb2 Ir2 Cl2'
_cell_length_a 7.450
_cell_length_b 4.266
_cell_length_c 11.579
_cell_angle_alpha 90.00
_cell_angle_beta 101.19
_cell_angle_gamma 90.00
_space_group_name_H-M_alt 'P 1 21/m 1'
_space_group_IT_number 11
loop_
_space_group_symop_operation_xyz
'x,y,z'
'-x,-y,-z'
'-x,y+1/2,-z'
'x,-y+1/2,z'
loop_
_atom_site_label
_atom_site_fract_x
_atom_site_fract_y
_atom_site_fract_z
_atom_site_occupancy
La1 0.035 0.250 0.138 1
La2 0.272 0.250 0.501 1
La3 0.457 0.750 0.855 1
Sb1 0.347 0.750 0.310 1
Ir1 0.234 0.250 0.943 1
Cl1 0.120 0.750 0.632 1
# * energy relative to the elements, uncorrected: -1.184 eV/atom
# * V: 30.08 Å³ per atom
# * energy: -73.44 eV for the cell shown

# La6SiIr2Cl3 (GGA-PBE, relaxed)
data_La6SiIr2Cl3
_chemical_formula_sum 'La12 Si2 Ir4 Cl6'
_cell_length_a 19.219
_cell_length_b 4.239
_cell_length_c 8.971
_cell_angle_alpha 90.00
_cell_angle_beta 106.68
_cell_angle_gamma 90.00
_space_group_name_H-M_alt 'C 1 2/m 1'
_space_group_IT_number 12
loop_
_space_group_symop_operation_xyz
'x,y,z'
'-x,-y,-z'
'-x,y,-z'
'x,-y,z'
'x+1/2,y+1/2,z'
'-x+1/2,-y+1/2,-z'
'-x+1/2,y+1/2,-z'
'x+1/2,-y+1/2,z'
loop_
_atom_site_label
_atom_site_fract_x
_atom_site_fract_y
_atom_site_fract_z
_atom_site_occupancy
La1 0.014 0.000 0.242 1
La2 0.163 0.500 0.115 1
La3 0.177 0.500 0.561 1
Si1 0.000 0.500 0.000 1
Ir1 0.169 0.000 0.336 1
Cl1 0.000 0.500 0.500 1
Cl2 0.159 0.000 0.839 1
# * energy relative to the elements, uncorrected: -1.288 eV/atom
# * V: 29.17 Å³ per atom
# * energy: -147.41 eV for the cell shown

Q: energy relative to the elements, uncorrected of number 8 (La8Ir3S4Cl)?
A: -1.524 eV/atom